# BaSrAg10

A geometry-optimized BaSrAg10 structure (GGA-PBE, the Alexandria database).

Unit cell a=4.659 b=5.844 c=10.117 alpha=90.00 beta=90.00 gamma=90.00
Space group Pmmm (No. 47)
One atom of each set of equivalent atoms:
Ba  0.000  0.000  0.000
Sr  0.000  0.500  0.500
Ag  0.000  0.000  0.339
Ag  0.000  0.500  0.173
Ag  0.500  0.000  0.500
Ag  0.500  0.252  0.254
Ag  0.500  0.500  0.000

Crystal system: orthorhombic
Electronic total energy in eV per atom: -2.839